1.
YAgSb4 (GGA-PBE, optimized geometry); raw formation energy = 77 meV per atom; crystal system = cubic; total DFT energy (no corrections) = -25.3 eV per formula unit
1.0
-3.1231 -5.0949 1.6072
-5.5277 -1.1664 -2.5255
-0.6376 -4.6423 -4.0419
Sb Ag Y
4 1 1
direct
0.3742 0.3742 0.8775 Sb
0.3742 0.8775 0.3742 Sb
0.3742 0.3742 0.3742 Sb
0.8775 0.3742 0.3742 Sb
0.0000 0.0000 0.0000 Ag
0.7500 0.7500 0.7500 Y

=====

2.
YAg2Sb2 (GGA-PBE, optimized geometry); raw formation energy = -324 meV per atom; crystal system = tetragonal; offset from the most stable computed form = 153.2 meV/atom; total DFT energy (no corrections) = -22.0 eV per formula unit
1.0
4.0885 0.0000 0.0000
0.0000 4.0885 0.0000
2.0442 2.0442 7.3324
Sb Y Ag
2 1 2
direct
0.6068 0.6068 0.7865 Sb
0.3932 0.3932 0.2135 Sb
0.0000 0.0000 0.0000 Y
0.2500 0.7500 0.5000 Ag
0.7500 0.2500 0.5000 Ag

=====

3.
YAgSb (GGA-PBE, optimized geometry); raw formation energy = -576 meV per atom; crystal system = trigonal; total DFT energy (no corrections) = -15.2 eV per formula unit
1.0
-1.6653 4.2555 0.2386
-0.4681 -2.4276 -3.8506
-3.5918 -1.4825 1.3713
Y Ag Sb
1 1 1
direct
0.3333 0.6667 0.6812 Y
0.0000 0.0000 0.0914 Ag
0.6667 0.3333 0.2274 Sb

=====

4.
Y2AgSb2 (GGA-PBE, optimized geometry); raw formation energy = -694 meV per atom; crystal system = tetragonal; offset from the most stable computed form = 0.0 meV/atom; total DFT energy (no corrections) = -27.5 eV per formula unit
1.0
8.0457 0.0000 0.0000
0.0000 8.0457 0.0000
0.0000 0.0000 4.1294
Sb Y Ag
4 4 2
direct
0.6539 0.1539 0.0000 Sb
0.3461 0.8461 0.0000 Sb
0.1539 0.3461 0.0000 Sb
0.8461 0.6539 0.0000 Sb
0.6546 0.8454 0.5000 Y
0.8454 0.3454 0.5000 Y
0.1546 0.6546 0.5000 Y
0.3454 0.1546 0.5000 Y
0.0000 0.0000 0.0000 Ag
0.5000 0.5000 0.0000 Ag

=====

5.
Y2AgSb (GGA-PBE, optimized geometry); raw formation energy = -366 meV per atom; crystal system = tetragonal; total DFT energy (no corrections) = -21.4 eV per formula unit
1.0
7.9673 0.0000 0.0000
0.0000 7.9673 0.0000
3.9837 3.9837 3.6280
Y Ag Sb
4 2 2
direct
0.6129 0.1250 0.2500 Y
0.3750 0.3871 0.7500 Y
0.1371 0.6250 0.2500 Y
0.8750 0.8629 0.7500 Y
0.2500 0.7500 0.5000 Ag
0.5000 0.5000 0.0000 Ag
0.7500 0.2500 0.5000 Sb
0.0000 0.0000 0.0000 Sb

=====

6.
Y4AgSb (GGA-PBE, optimized geometry); raw formation energy = 244 meV per atom; crystal system = cubic; total DFT energy (no corrections) = -31.4 eV per formula unit
1.0
0.0000 4.4434 4.4434
4.4434 0.0000 4.4434
4.4434 4.4434 0.0000
Y Sb Ag
4 1 1
direct
0.3746 0.3746 0.8763 Y
0.8763 0.3746 0.3746 Y
0.3746 0.8763 0.3746 Y
0.3746 0.3746 0.3746 Y
0.0000 0.0000 0.0000 Sb
0.7500 0.7500 0.7500 Ag

=====

7.
Y2AgSb (GGA-PBE, optimized geometry); raw formation energy = -568 meV per atom; crystal system = monoclinic; total DFT energy (no corrections) = -22.2 eV per formula unit
1.0
4.3462 -0.0758 0.0645
2.2580 3.7143 0.0645
2.0694 1.1401 7.0928
Y Ag Sb
2 1 1
direct
0.5000 0.5000 0.5008 Y
0.0000 0.0000 0.9992 Y
0.7500 0.7500 0.7500 Ag
0.2500 0.2500 0.2500 Sb

=====

8.
Y2AgSb2 (GGA-PBE, optimized geometry); raw formation energy = -583 meV per atom; crystal system = tetragonal; offset from the most stable computed form = 110.7 meV/atom; total DFT energy (no corrections) = -26.9 eV per formula unit
1.0
-3.5589 -5.7550 4.9085
7.3001 -1.1931 3.8940
-0.9425 2.8293 2.6339
Sb Y Ag
4 4 2
direct
0.8443 0.3443 0.5000 Sb
0.1557 0.6557 0.5000 Sb
0.3443 0.1557 0.5000 Sb
0.6557 0.8443 0.5000 Sb
0.3499 0.8499 0.0000 Y
0.6501 0.1501 0.0000 Y
0.1501 0.3499 0.0000 Y
0.8499 0.6501 0.0000 Y
0.5000 0.5000 0.0000 Ag
0.0000 0.0000 0.0000 Ag

=====

9.
YAg2Sb2 (GGA-PBE, optimized geometry); raw formation energy = -477 meV per atom; crystal system = orthorhombic; offset from the most stable computed form = 0.0 meV/atom; total DFT energy (no corrections) = -22.8 eV per formula unit
1.0
-4.0028 1.7122 -0.4310
-1.7539 -3.9551 0.5767
1.5417 1.1077 12.2864
Ag Sb Y
4 4 2
direct
0.5402 0.2500 0.0804 Ag
0.9602 0.2500 0.9203 Ag
0.0398 0.7500 0.0797 Ag
0.4598 0.7500 0.9196 Ag
0.7500 0.2500 0.4999 Sb
0.2500 0.7500 0.5001 Sb
0.8827 0.7500 0.7655 Sb
0.1173 0.2500 0.2345 Sb
0.6510 0.7500 0.3021 Y
0.3490 0.2500 0.6979 Y

=====

10.
Y2AgSb (GGA-PBE, optimized geometry); raw formation energy = -533 meV per atom; crystal system = tetragonal; total DFT energy (no corrections) = -22.0 eV per formula unit
1.0
-3.2624 -0.2469 2.8484
-1.6494 -3.3680 -2.1804
3.2938 -3.8399 3.4396
Sb Y Ag
1 2 1
direct
0.5000 0.5000 0.8746 Sb
0.0000 0.0000 0.8754 Y
0.5000 0.5000 0.3746 Y
0.0000 0.0000 0.3753 Ag

=====

11.
YAgSb (GGA-PBE, optimized geometry); raw formation energy = -537 meV per atom; crystal system = orthorhombic; total DFT energy (no corrections) = -15.0 eV per formula unit
1.0
-2.9440 -1.2503 -4.6428
5.0649 -2.1522 -2.6321
-1.7140 -7.9966 3.2403
Ag Y Sb
4 4 4
direct
0.5000 0.7546 0.7692 Ag
0.0000 0.2546 0.2308 Ag
0.5000 0.2454 0.7692 Ag
0.0000 0.7454 0.2308 Ag
0.5000 0.5000 0.1145 Y
0.5000 0.0000 0.4434 Y
0.0000 0.0000 0.8855 Y
0.0000 0.5000 0.5566 Y
0.0000 0.0000 0.5331 Sb
0.5000 0.5000 0.4669 Sb
0.5000 0.0000 0.0952 Sb
0.0000 0.5000 0.9048 Sb

=====

12.
Y6Ag5Sb (GGA-PBE, optimized geometry); raw formation energy = -432 meV per atom; crystal system = monoclinic; total DFT energy (no corrections) = -62.3 eV per formula unit
1.0
4.9794 -0.0069 -1.3975
-3.7480 7.2808 -3.8034
-0.1768 -1.0805 8.9624
Ag Sb Y
5 1 6
direct
0.0000 0.6659 0.3341 Ag
0.5000 0.8256 0.1744 Ag
0.5000 0.5000 0.5000 Ag
0.0000 0.3341 0.6659 Ag
0.5000 0.1744 0.8256 Ag
0.0000 0.0000 0.0000 Sb
0.7533 0.2534 0.2534 Y
0.2467 0.7466 0.7466 Y
0.2518 0.4201 0.0836 Y
0.2518 0.0836 0.4201 Y
0.7482 0.9164 0.5799 Y
0.7482 0.5799 0.9164 Y

=====

| no. | N(E_F) (states/eV/f.u.) |
| --- | --- |
| 1 | 4.46 |
| 2 | 2.04 |
| 3 | 1.75 |
| 4 | 3.57 |
| 5 | 1.80 |
| 6 | 6.43 |
| 7 | 4.34 |
| 8 | 3.21 |
| 9 | 1.57 |
| 10 | 5.54 |
| 11 | 1.11 |
| 12 | 9.61 |